No. 1
Here is ZrCd2PIr after structural relaxation from Alexandria. Energies are from PBE.

space-group type	P4/mmm
raw total energy	-17.411	eV for the cell shown

abc: 5.558 4.833 5.558
angles: 90.00 90.00 90.00
Sites, in units of the cell vectors:
P 0.000 0.500 0.000
Ir 0.500 0.500 0.500
Zr 0.000 0.000 0.000
Cd 0.000 0.000 0.500
Cd 0.500 0.000 0.000

No. 2
Here is Rb3ScTe after structural relaxation from Alexandria. Energies are from PBE.

energy relative to the lowest polymorph listed for this composition	0	meV/atom
space-group type	Pm-3m
formation energy without anion corrections	47	kJ/mol of formula units

abc: 6.990 6.990 6.990
angles: 90.00 90.00 90.00
Sites, in units of the cell vectors:
Sc 0.500 0.500 0.500
Te 0.000 0.000 0.000
Rb 0.000 0.500 0.000
Rb 0.000 0.000 0.500
Rb 0.500 0.000 0.000